Record 1
The following is a PBE-GGA calculation of KLaRu2 after structural relaxation, from Alexandria.

The structure belongs to space group Cmmm (No. 65); the cell edges are 5.599, 9.130 and 3.384 Å and the angles 90.00°, 90.00° and 90.00°. The distinct sites, in fractional coordinates, are K at (0.000, 0.000, 0.000), La at (0.000, 0.500, 0.000) and Ru at (0.250, 0.250, 0.500).

For the formation energy, the calculation gives 958 meV/atom. As for the offset from the most stable computed form: 672 meV per atom. The density comes out at 7.30 Mg/m³.


Record 2
The following is a PBE-GGA calculation of RuC after structural relaxation, from Alexandria.

The structure belongs to space group Pmmn (No. 59, origin choice 2); the cell edges are 3.319, 10.072 and 4.615 Å and the angles 90.00°, 90.00° and 90.00°. The distinct sites, in fractional coordinates, are Ru at (0.250, 0.101, 0.065), Ru at (0.250, 0.750, 0.430), C at (0.250, 0.250, 0.337) and C at (0.250, 0.595, 0.179).

For the formation energy, the calculation gives 572 meV/atom. As for the offset from the most stable computed form: 207 meV per atom. The density comes out at 7.30 Mg/m³.


Record 3
The following is a PBE-GGA calculation of PaCo2Ir after structural relaxation, from Alexandria.

The structure belongs to space group P4/mmm (No. 123); the cell edges are 3.967, 3.967 and 3.844 Å and the angles 90.00°, 90.00° and 90.00°. The distinct sites, in fractional coordinates, are Pa at (0.000, 0.000, 0.000), Co at (0.000, 0.500, 0.500) and Ir at (0.500, 0.500, 0.000).

For the formation energy, the calculation gives -504 meV/atom. As for the offset from the most stable computed form: 0 meV per atom. The density comes out at 14.86 Mg/m³.


Record 4
The following is a PBE-GGA calculation of ZnTeSe2 after structural relaxation, from Alexandria.

The structure belongs to space group R3m (No. 160, hexagonal axes); the cell edges are 3.9478, 3.9478 and 21.4498 Å and the angles 90.00°, 90.00° and 120.00°. The distinct sites, in fractional coordinates, are Zn at (0.0000, 0.0000, 0.0000), Te at (0.0000, 0.0000, 0.7595), Se at (0.0000, 0.0000, 0.2848) and Se at (0.0000, 0.0000, 0.5057).

As for the offset from the most stable computed form: 93 meV per atom. The density comes out at 6.04 Mg/m³.


Record 5
The following is a PBE-GGA calculation of ScTa2P2 after structural relaxation, from Alexandria.

The structure belongs to space group P4/mbm (No. 127); the cell edges are 6.914, 6.914 and 3.342 Å and the angles 90.00°, 90.00° and 90.00°. The distinct sites, in fractional coordinates, are Sc at (0.000, 0.000, 0.000), Ta at (0.150, 0.350, 0.500) and P at (0.142, 0.642, 0.000).

For the formation energy, the calculation gives -772 meV/atom. The density comes out at 9.75 Mg/m³.


Record 6
The following is a PBE-GGA calculation of Be2FeBr after structural relaxation, from Alexandria.

The structure belongs to space group P4mm (No. 99); the cell edges are 3.044, 3.044 and 6.967 Å and the angles 90.00°, 90.00° and 90.00°. The distinct sites, in fractional coordinates, are Be at (0.000, 0.000, 0.000), Be at (0.500, 0.500, 0.198), Fe at (0.500, 0.500, 0.893) and Br at (0.000, 0.000, 0.385).

As for the offset from the most stable computed form: 229 meV per atom. The density comes out at 3.96 Mg/m³.


Record 7
The following is a PBE-GGA calculation of Y2CdIn4 after structural relaxation, from Alexandria.

The structure belongs to space group Cmmm (No. 65); the cell edges are 8.935, 9.387 and 4.512 Å and the angles 90.00°, 90.00° and 90.00°. The distinct sites, in fractional coordinates, are Y at (0.238, 0.000, 0.000), Cd at (0.000, 0.500, 0.500), In at (0.000, 0.251, 0.000) and In at (0.250, 0.250, 0.500).

For the formation energy, the calculation gives -297 meV/atom. The density comes out at 6.58 Mg/m³.


Record 8
The following is a PBE-GGA calculation of CuSi4Se after structural relaxation, from Alexandria.

The structure belongs to space group F-43m (No. 216); the cell edges are 7.298, 7.298 and 7.298 Å and the angles 90.00°, 90.00° and 90.00°. The distinct sites, in fractional coordinates, are Cu at (0.000, 0.000, 0.000), Si at (0.126, 0.126, 0.374) and Se at (0.250, 0.250, 0.750).

The density comes out at 4.36 Mg/m³. As for the total energy: -101.96 eV per cell.


Record 9
The following is a PBE-GGA calculation of SrH2Rh after structural relaxation, from Alexandria.

The structure belongs to space group R-3m (No. 166, hexagonal axes); the cell edges are 3.4185, 3.4185 and 14.8625 Å and the angles 90.00°, 90.00° and 120.00°. The distinct sites, in fractional coordinates, are Sr at (0.0000, 0.0000, 0.0000), H at (0.0000, 0.0000, 0.2074) and Rh at (0.0000, 0.0000, 0.5000).

As for the offset from the most stable computed form: 272 meV per atom. The density comes out at 6.38 Mg/m³.


Record 10
The following is a PBE-GGA calculation of Cs2HoMn2Se4 after structural relaxation, from Alexandria.

The structure belongs to space group C2/m (No. 12); the cell edges are 15.641, 4.252 and 8.481 Å and the angles 90.00°, 108.14° and 90.00°. The distinct sites, in fractional coordinates, are Cs at (0.134, 0.000, 0.054), Ho at (0.000, 0.000, 0.500), Mn at (0.179, 0.500, 0.483), Se at (0.021, 0.500, 0.282) and Se at (0.195, 0.000, 0.659).

The density comes out at 5.31 Mg/m³. As for the total energy: -96.79 eV per cell.


Record 11
The following is a PBE-GGA calculation of Y2CuGeC after structural relaxation, from Alexandria.

The structure belongs to space group P4/mmm (No. 123); the cell edges are 4.954, 4.954 and 3.830 Å and the angles 90.00°, 90.00° and 90.00°. The distinct sites, in fractional coordinates, are Y at (0.000, 0.500, 0.000), Cu at (0.000, 0.000, 0.500), Ge at (0.500, 0.500, 0.500) and C at (0.000, 0.000, 0.000).

For the formation energy, the calculation gives -383 meV/atom. The density comes out at 5.76 Mg/m³.


Record 12
The following is a PBE-GGA calculation of Ho5ThIn4 after structural relaxation, from Alexandria.

The structure belongs to space group P4/mmm (No. 123); the cell edges are 3.515, 3.515 and 21.991 Å and the angles 90.00°, 90.00° and 90.00°. The distinct sites, in fractional coordinates, are Ho at (0.000, 0.000, 0.000), Ho at (0.000, 0.000, 0.194), Ho at (0.000, 0.000, 0.388), Th at (0.500, 0.500, 0.500), In at (0.500, 0.500, 0.097) and In at (0.500, 0.500, 0.291).

For the formation energy, the calculation gives -377 meV/atom. The density comes out at 9.27 Mg/m³.